Entry 1:
A plane-wave DFT calculation with PBE-GGA was carried out for crystalline TiSi6W2 at its relaxed geometry.

Lattice parameters (Å, degrees): 4.7048 8.1050 6.4897 90.00 90.00 90.00
Last column: nearest neighbours and their distance in Å.
Space group C222 (No. 21)
Symmetry-distinct sites (fractional):
Ti 0.0000 0.0000 0.0000  10 Si 2.55-2.78
Si 0.0000 0.3432 0.0000  5 Si 2.51-2.80, 2 W 2.57, 3 Ti 2.67-2.78
Si 0.2439 0.4186 0.3307  5 Si 2.51-2.75, 1 Ti 2.55, 4 W 2.58-2.75
W 0.2500 0.2500 0.6674  10 Si 2.57-2.75

Uncorrected energy   -7.7743 eV/atom
Crystal system   orthorhombic
M_tot   0.00 μB/f.u.

Entry 2:
A plane-wave DFT calculation with PBE-GGA was carried out for crystalline Ti2Si2W at its relaxed geometry.

Lattice parameters (Å, degrees): 6.5404 6.5404 3.4629 90.00 90.00 90.00
Last column: nearest neighbours and their distance in Å.
Space group P4/mbm (No. 127)
Symmetry-distinct sites (fractional):
Ti 0.1722 0.3278 0.0000  6 Si 2.53-2.64
Si 0.1286 0.6286 0.5000  1 Si 2.38, 6 Ti 2.53-2.64, 2 W 2.57
W 0.0000 0.0000 0.5000  4 Si 2.57

Uncorrected energy   -8.5975 eV/atom
Crystal system   tetragonal
M_tot   0.00 μB/f.u.

Entry 3:
A plane-wave DFT calculation with PBE-GGA was carried out for crystalline TiSi2W2 at its relaxed geometry.

Lattice parameters (Å, degrees): 6.6653 6.6653 3.3120 90.00 90.00 90.00
Last column: nearest neighbours and their distance in Å.
Space group P4/mbm (No. 127)
Symmetry-distinct sites (fractional):
Ti 0.0000 0.0000 0.0000  4 Si 2.59
Si 0.1354 0.3646 0.0000  6 W 2.55-2.57, 1 Si 2.55, 2 Ti 2.59
W 0.1590 0.6590 0.5000  6 Si 2.55-2.57

Energy above the most stable polymorph in this dataset   0 meV/atom
Uncorrected energy   -9.2161 eV/atom
Crystal system   tetragonal
M_tot   0.00 μB/f.u.

Entry 4:
A plane-wave DFT calculation with PBE-GGA was carried out for crystalline TiSi2W at its relaxed geometry.

Lattice parameters (Å, degrees): 5.5030 5.5030 12.0131 90.00 90.00 90.00
Last column: nearest neighbours and their distance in Å.
Space group I-42d (No. 122)
Symmetry-distinct sites (fractional):
Ti 0.0000 0.0000 0.0000  4 Si 2.52
Si 0.2308 0.2500 0.6250  2 W 2.40, 2 Ti 2.52
W 0.0000 0.0000 0.5000  4 Si 2.40

Energy above the most stable polymorph in this dataset   1117 meV/atom
Uncorrected energy   -6.9427 eV/atom
Crystal system   tetragonal
M_tot   0.00 μB/f.u.